1.
Computed, not measured: a geometry-optimized Dy6Hg5Pb structure at the PBE level of DFT.

Lattice parameters (Å, degrees): 5.300 7.428 9.185 113.85 106.77 90.00
Site moments in Bohr magnetons follow the coordinates.
Sites, in units of the cell vectors:
1 Dy 0.169 0.916 0.338  0.12
2 Hg 0.000 0.500 0.000  0.01
3 Hg 0.333 0.333 0.666  0.01
4 Dy 0.831 0.579 0.662  0.12
5 Hg 0.667 0.667 0.334  0.01
6 Dy 0.831 0.084 0.662  0.12
7 Dy 0.169 0.421 0.338  0.12
8 Dy 0.500 0.745 0.000  0.13
9 Dy 0.500 0.255 0.000  0.13
10 Pb 0.000 0.000 0.000  -0.01
11 Hg 0.670 0.170 0.340  0.01
12 Hg 0.330 0.830 0.660  0.01

Summary:
Space-group type: Immm, No. 71
M_tot (μB per formula unit): 1.06
Formation energy (eV/atom): -0.48
Electronic total energy (eV/cell): -38.5

---

2.
Computed, not measured: a geometry-optimized ZrTc2 structure at the PBE level of DFT.

Lattice parameters (Å, degrees): 5.360 5.360 5.360 144.96 144.96 50.39
Sites, in units of the cell vectors:
1 Tc 0.674 0.674 0.000
2 Tc 0.326 0.326 0.000
3 Zr 0.000 0.000 0.000

Summary:
Space-group type: I4/mmm, No. 139
M_tot (μB per formula unit): 0.00
Formation energy (eV/atom): -0.14
Electronic total energy (eV/cell): -29.7

---

3.
Computed, not measured: a geometry-optimized BeZnCdIr structure at the PBE level of DFT.

Lattice parameters (Å, degrees): 3.475 2.836 12.358 90.00 90.00 90.00
Sites, in units of the cell vectors:
1 Zn 0.000 0.500 0.709
2 Be 0.500 0.500 0.568
3 Cd 0.500 0.500 0.360
4 Zn 0.000 0.000 0.209
5 Ir 0.000 0.500 0.027
6 Cd 0.500 0.000 0.860
7 Be 0.500 0.000 0.068
8 Ir 0.000 0.000 0.527

Summary:
Space-group type: Amm2, No. 38
M_tot (μB per formula unit): 0.00
Formation energy (eV/atom): -0.09
Electronic total energy (eV/cell): -30.3

---

4.
Computed, not measured: a geometry-optimized MnCu6Pd12 structure at the PBE level of DFT.

Lattice parameters (Å, degrees): 6.534 6.534 6.534 89.07 89.07 89.07
Site moments in Bohr magnetons follow the coordinates.
Sites, in units of the cell vectors:
1 Pd 0.197 0.471 0.565  0.04
2 Cu 0.728 0.264 0.112  0.04
3 Pd 0.803 0.529 0.435  0.04
4 Cu 0.888 0.272 0.736  0.04
5 Pd 0.435 0.803 0.529  0.04
6 Pd 0.368 0.023 0.154  0.08
7 Pd 0.529 0.435 0.803  0.04
8 Cu 0.736 0.888 0.272  0.04
9 Pd 0.023 0.154 0.368  0.08
10 Pd 0.632 0.977 0.846  0.08
11 Pd 0.471 0.565 0.197  0.04
12 Cu 0.112 0.728 0.264  0.04
13 Cu 0.272 0.736 0.888  0.04
14 Pd 0.977 0.846 0.632  0.08
15 Mn 0.000 0.000 0.000  3.67
16 Pd 0.154 0.368 0.023  0.08
17 Pd 0.846 0.632 0.977  0.08
18 Pd 0.565 0.197 0.471  0.04
19 Cu 0.264 0.112 0.728  0.04

Summary:
Space-group type: R-3, No. 148
M_tot (μB per formula unit): 4.73
Formation energy (eV/atom): -0.03
Electronic total energy (eV/cell): -96.6